# 1
Density functional theory data (PBE-GGA) for an optimized crystal structure of Ce4PmCo4.

Cell lengths 5.746, 8.279, 8.279 Å; angles 90.00, 90.00, 90.00 degrees
Fractional coordinates of all 18 atoms:
1 Co 0.088 0.854 0.696
2 Ce 0.567 0.918 0.695
3 Pm 0.000 0.000 0.000
4 Ce 0.433 0.695 0.082
5 Co 0.912 0.696 0.146
6 Co 0.912 0.304 0.854
7 Co 0.588 0.804 0.354
8 Co 0.412 0.354 0.196
9 Ce 0.567 0.082 0.305
10 Ce 0.433 0.305 0.918
11 Ce 0.067 0.195 0.582
12 Ce 0.933 0.418 0.195
13 Co 0.088 0.146 0.304
14 Co 0.588 0.196 0.646
15 Co 0.412 0.646 0.804
16 Ce 0.933 0.582 0.805
17 Ce 0.067 0.805 0.418
18 Pm 0.500 0.500 0.500

## Properties
- Formation energy from the elements: -0.14 eV/atom
- Electronic total energy: -6.47 eV per atom


# 2
Density functional theory data (PBE-GGA) for an optimized crystal structure of U2SiOs.

Cell lengths 3.665, 3.665, 5.591 Å; angles 90.00, 90.00, 90.00 degrees
Site moments in Bohr magnetons follow the coordinates.
Fractional coordinates of all 4 atoms:
1 Si 0.500 0.500 0.000  -0.04
2 U 0.000 0.000 0.764  1.43
3 Os 0.500 0.500 0.500  -0.28
4 U 0.000 0.000 0.236  1.43

## Properties
- Energy relative to the elements, uncorrected: -0.234 eV per atom
- Electronic total energy: -10.04 eV per atom


# 3
Density functional theory data (PBE-GGA) for an optimized crystal structure of NpSiOs2C.

Cell lengths 3.878, 5.931, 7.062 Å; angles 90.00, 90.00, 109.08 degrees
Site moments in Bohr magnetons follow the coordinates.
Fractional coordinates of all 10 atoms:
1 Os 0.834 0.668 0.056  -0.09
2 Os 0.166 0.332 0.944  -0.09
3 Np 0.550 0.100 0.250  3.51
4 Os 0.834 0.668 0.444  -0.09
5 Os 0.166 0.332 0.556  -0.09
6 Si 0.272 0.544 0.250  -0.01
7 Np 0.450 0.900 0.750  3.51
8 C 0.000 0.000 0.500  -0.02
9 Si 0.728 0.456 0.750  -0.01
10 C 0.000 0.000 0.000  -0.02

## Properties
- Energy relative to the elements, uncorrected: -0.224 eV per atom
- Electronic total energy: -10.23 eV per atom


# 4
Density functional theory data (PBE-GGA) for an optimized crystal structure of TiAlAg.

Cell lengths 7.207, 4.972, 2.893 Å; angles 90.02, 101.57, 83.30 degrees
Site moments in Bohr magnetons follow the coordinates.
Fractional coordinates of all 6 atoms:
1 Ti 0.722 0.962 0.531  0.57
2 Ag 0.370 0.688 0.356  0.01
3 Al 0.697 0.458 0.019  -0.01
4 Ag 0.367 0.188 0.855  0.01
5 Al 0.042 0.073 0.191  -0.01
6 Ti 0.016 0.577 0.679  0.55

## Properties
- Formation energy from the elements: -0.17 eV/atom
- Electronic total energy: -5.00 eV per atom